Record 1
DFT (PBE-GGA) results for Ge2IrPb after structural relaxation.

Unit cell a=7.4007 b=7.4007 c=7.4007 alpha=132.30 beta=132.30 gamma=69.76
With the nearest neighbours (Å) after each atom.
Atoms (fractional coordinates):
Ge 0.0497 0.6250 0.9247  2 Ir 2.37
Ge 0.3750 0.2997 0.4247  2 Ir 2.37
Ge 0.7003 0.1250 0.0753  2 Ir 2.37
Ge 0.8750 0.9503 0.5753  2 Ir 2.37
Ir 0.0000 0.0000 0.0000  4 Ge 2.37
Ir 0.7500 0.2500 0.5000  4 Ge 2.37
Pb 0.2500 0.7500 0.5000  4 Ge 2.89
Pb 0.5000 0.5000 0.0000  4 Ge 2.89

Output
DFT total energy (eV per atom): -5.23
Formation energy from the elements (kJ/mol of atoms): 21.1

Record 2
DFT (PBE-GGA) results for CsSr2Rh after structural relaxation.

Unit cell a=8.8633 b=8.8633 c=8.8633 alpha=119.87 beta=119.87 gamma=90.22
With the nearest neighbours (Å) after each atom.
Atoms (fractional coordinates):
Cs 0.0000 0.0000 0.0000  12 Sr 5.18-5.23, 4 Cs 5.43, 4 Rh 5.43
Cs 0.7500 0.2500 0.5000  12 Sr 5.18-5.23, 4 Rh 5.43, 4 Cs 5.43
Sr 0.3716 0.6250 0.2466  2 Rh 2.72
Sr 0.3750 0.6216 0.7466  2 Rh 2.72
Sr 0.3784 0.1250 0.7534  2 Rh 2.72
Sr 0.8750 0.6284 0.2534  2 Rh 2.72
Rh 0.2500 0.7500 0.5000  4 Sr 2.72
Rh 0.5000 0.5000 0.0000  4 Sr 2.72

Output
DFT total energy (eV per atom): -2.76
Formation energy from the elements (kJ/mol of atoms): 12.3
Offset from the most stable computed form (meV per atom): 127

Record 3
DFT (PBE-GGA) results for Nd5Dy3Ho after structural relaxation.

Unit cell a=10.5573 b=10.5573 c=11.7879 alpha=121.46 beta=121.46 gamma=34.73
With the nearest neighbours (Å) after each atom.
Atoms (fractional coordinates):
Nd 0.0300 0.6961 0.3430  2 Dy 3.14-3.50
Nd 0.0939 0.9061 0.7500  2 Ho 3.09-3.21
Nd 0.1446 0.4948 0.6693  4 Dy 3.43-3.76, 5 Nd 3.53-3.64, 1 Ho 3.66
Nd 0.3039 0.9700 0.1570  2 Dy 3.14-3.50
Nd 0.4948 0.1446 0.1693  4 Dy 3.43-3.76, 5 Nd 3.53-3.64, 1 Ho 3.66
Nd 0.5052 0.8554 0.8307  4 Dy 3.43-3.76, 5 Nd 3.53-3.64, 1 Ho 3.66
Nd 0.6961 0.0300 0.8430  2 Dy 3.14-3.50
Nd 0.8554 0.5052 0.3307  4 Dy 3.43-3.76, 5 Nd 3.53-3.64, 1 Ho 3.66
Nd 0.9061 0.0939 0.2500  2 Ho 3.09-3.21
Nd 0.9700 0.3039 0.6570  2 Dy 3.14-3.50
Dy 0.1048 0.5424 0.9726  1 Ho 3.34, 2 Dy 3.39-3.66, 4 Nd 3.43-3.58
Dy 0.4576 0.8952 0.5274  1 Ho 3.34, 2 Dy 3.39-3.66, 4 Nd 3.43-3.58
Dy 0.5000 0.5000 0.0000  2 Ho 3.02, 2 Nd 3.14
Dy 0.5000 0.5000 0.5000  2 Ho 3.02, 2 Nd 3.14
Dy 0.5424 0.1048 0.4726  1 Ho 3.34, 2 Dy 3.39-3.66, 4 Nd 3.43-3.58
Dy 0.8952 0.4576 0.0274  1 Ho 3.34, 2 Dy 3.39-3.66, 4 Nd 3.43-3.58
Ho 0.3963 0.6037 0.2500  4 Dy 3.02-3.34, 2 Nd 3.09-3.21
Ho 0.6037 0.3963 0.7500  4 Dy 3.02-3.34, 2 Nd 3.09-3.21

Output
DFT total energy (eV per atom): -4.42
Formation energy from the elements (kJ/mol of atoms): 26.3
Offset from the most stable computed form (meV per atom): 0

Record 4
DFT (PBE-GGA) results for LiYRh after structural relaxation.

Unit cell a=5.2862 b=5.2862 c=5.2862 alpha=141.63 beta=141.63 gamma=55.38
With the nearest neighbours (Å) after each atom.
Atoms (fractional coordinates):
Li 0.0000 0.0000 0.0000  4 Rh 2.75, 1 Y 2.76
Y 0.7054 0.7054 0.0000  1 Li 2.76, 4 Rh 2.89
Rh 0.3683 0.3683 0.0000  4 Li 2.75, 4 Y 2.89

Output
DFT total energy (eV per atom): -5.61
Formation energy from the elements (kJ/mol of atoms): -35.9
Offset from the most stable computed form (meV per atom): 49

Record 5
DFT (PBE-GGA) results for Ti3SnW after structural relaxation.

Unit cell a=4.8531 b=4.8531 c=4.8531 alpha=90.00 beta=90.00 gamma=90.00
With the nearest neighbours (Å) after each atom.
Atoms (fractional coordinates):
Ti 0.0000 0.0000 0.5000  2 Sn 2.43
Ti 0.0000 0.5000 0.0000  2 Sn 2.43
Ti 0.5000 0.0000 0.0000  2 Sn 2.43
Sn 0.0000 0.0000 0.0000  6 Ti 2.43
W 0.5000 0.5000 0.5000  12 Ti 3.43

Output
DFT total energy (eV per atom): -6.52
Formation energy from the elements (kJ/mol of atoms): 155.1
Offset from the most stable computed form (meV per atom): 908

Record 6
DFT (PBE-GGA) results for Pr2Dy2Cd after structural relaxation.

Unit cell a=8.8616 b=8.8616 c=6.8649 alpha=90.00 beta=90.00 gamma=145.40
With the nearest neighbours (Å) after each atom.
Atoms (fractional coordinates):
Pr 0.0029 0.9971 0.5000  3 Pr 3.34-3.43, 5 Dy 3.37-3.63, 4 Cd 3.61-3.68
Pr 0.2002 0.7998 0.4984  4 Dy 3.17-3.52, 1 Pr 3.34, 2 Cd 3.49
Pr 0.7998 0.2002 0.9984  4 Dy 3.17-3.52, 1 Pr 3.34, 2 Cd 3.49
Pr 0.9971 0.0029 0.0000  3 Pr 3.34-3.43, 5 Dy 3.37-3.63, 4 Cd 3.61-3.68
Dy 0.1961 0.8039 0.9855  5 Pr 3.17-3.52, 2 Cd 3.43, 2 Dy 3.51
Dy 0.3938 0.6062 0.7411  3 Cd 3.40-3.65, 3 Dy 3.51-3.74, 7 Pr 3.55-3.67
Dy 0.6062 0.3938 0.2411  3 Cd 3.40-3.65, 3 Dy 3.51-3.74, 7 Pr 3.55-3.67
Dy 0.8039 0.1961 0.4855  5 Pr 3.17-3.52, 2 Cd 3.43, 2 Dy 3.51
Cd 0.3907 0.6093 0.2465  6 Dy 3.40-3.75, 7 Pr 3.49-3.68
Cd 0.6093 0.3907 0.7465  6 Dy 3.40-3.75, 7 Pr 3.49-3.68

Output
DFT total energy (eV per atom): -3.96
Formation energy from the elements (kJ/mol of atoms): -2.0
Offset from the most stable computed form (meV per atom): 93

Record 7
DFT (PBE-GGA) results for TiAlOF2 after structural relaxation.

Unit cell a=3.3796 b=3.3796 c=6.0527 alpha=90.00 beta=90.00 gamma=90.00
With the nearest neighbours (Å) after each atom.
Atoms (fractional coordinates):
Ti 0.0000 0.0000 0.0000  4 O 2.39
Al 0.0000 0.0000 0.5000  4 F 1.69
O 0.5000 0.5000 0.0000  4 Ti 2.39
F 0.0000 0.5000 0.5000  2 Al 1.69
F 0.5000 0.0000 0.5000  2 Al 1.69

Output
DFT total energy (eV per atom): -5.95
Offset from the most stable computed form (meV per atom): 282
Formation energy without anion corrections (eV/atom): -1.880

Record 8
DFT (PBE-GGA) results for NdSiPd after structural relaxation.

Unit cell a=7.3068 b=4.4189 c=7.5628 alpha=90.00 beta=90.00 gamma=90.00
With the nearest neighbours (Å) after each atom.
Atoms (fractional coordinates):
Nd 0.0038 0.2500 0.1995  6 Pd 3.07-3.31, 6 Si 3.08-3.25
Nd 0.4962 0.7500 0.6995  6 Pd 3.07-3.31, 6 Si 3.08-3.25
Nd 0.5038 0.2500 0.3005  6 Pd 3.07-3.31, 6 Si 3.08-3.25
Nd 0.9962 0.7500 0.8005  6 Pd 3.07-3.31, 6 Si 3.08-3.25
Si 0.1923 0.2500 0.5884  4 Pd 2.56-2.79
Si 0.3077 0.7500 0.0884  4 Pd 2.56-2.79
Si 0.6923 0.2500 0.9116  4 Pd 2.56-2.79
Si 0.8077 0.7500 0.4116  4 Pd 2.56-2.79
Pd 0.1894 0.7500 0.4173  4 Si 2.56-2.79
Pd 0.3106 0.2500 0.9173  4 Si 2.56-2.79
Pd 0.6894 0.7500 0.0827  4 Si 2.56-2.79
Pd 0.8106 0.2500 0.5827  4 Si 2.56-2.79

Output
DFT total energy (eV per atom): -6.02
Formation energy without anion corrections (eV/atom): -0.888

Record 9
DFT (PBE-GGA) results for NaB2P2 after structural relaxation.

Unit cell a=6.8309 b=6.8309 c=6.8309 alpha=150.44 beta=150.44 gamma=42.30
With the nearest neighbours (Å) after each atom.
Atoms (fractional coordinates):
Na 0.0000 0.0000 0.0000  8 P 3.23, 4 Na 3.49
B 0.2500 0.7500 0.5000  4 P 2.06
B 0.7500 0.2500 0.5000  4 P 2.06
P 0.3364 0.3364 0.0000  4 B 2.06
P 0.6636 0.6636 0.0000  4 B 2.06

Output
DFT total energy (eV per atom): -4.88
Formation energy from the elements (kJ/mol of atoms): 21.2
Offset from the most stable computed form (meV per atom): 7

Record 10
DFT (PBE-GGA) results for YCu10Ni2 after structural relaxation.

Unit cell a=8.4181 b=6.4459 c=6.3992 alpha=81.89 beta=49.29 gamma=48.81
With the nearest neighbours (Å) after each atom.
Atoms (fractional coordinates):
Y 0.0000 0.0000 0.0000  16 Cu 2.98-3.22, 4 Ni 3.20
Cu 0.0000 0.5000 0.0000  10 Cu 2.41-2.60
Cu 0.0044 0.6466 0.3534  7 Cu 2.47-2.69, 2 Ni 2.55
Cu 0.2777 0.5014 0.4986  2 Ni 2.42, 8 Cu 2.45-2.69
Cu 0.3534 0.9956 0.0044  7 Cu 2.47-2.69, 2 Ni 2.55
Cu 0.4986 0.7223 0.2777  2 Ni 2.42, 8 Cu 2.45-2.69
Cu 0.5000 0.0000 0.5000  10 Cu 2.41-2.60
Cu 0.5014 0.2777 0.7223  2 Ni 2.42, 8 Cu 2.45-2.69
Cu 0.6466 0.0044 0.9956  7 Cu 2.47-2.69, 2 Ni 2.55
Cu 0.7223 0.4986 0.5014  2 Ni 2.42, 8 Cu 2.45-2.69
Cu 0.9956 0.3534 0.6466  7 Cu 2.47-2.69, 2 Ni 2.55
Ni 0.0000 0.0000 0.5000  2 Ni 2.41, 8 Cu 2.42-2.55
Ni 0.5000 0.5000 0.0000  2 Ni 2.41, 8 Cu 2.42-2.55

Output
DFT total energy (eV per atom): -4.64
Formation energy from the elements (kJ/mol of atoms): -9.5

Record 11
DFT (PBE-GGA) results for TaTi2NbO after structural relaxation.

Unit cell a=4.0984 b=4.0984 c=4.4768 alpha=90.00 beta=90.00 gamma=90.00
With the nearest neighbours (Å) after each atom.
Atoms (fractional coordinates):
Ta 0.0000 0.0000 0.0000  2 O 2.24
Ti 0.0000 0.5000 0.5000  2 O 2.05
Ti 0.5000 0.0000 0.5000  2 O 2.05
Nb 0.5000 0.5000 0.0000  4 Ta 2.90, 8 Ti 3.03
O 0.0000 0.0000 0.5000  4 Ti 2.05, 2 Ta 2.24

Output
DFT total energy (eV per atom): -9.45
Offset from the most stable computed form (meV per atom): 17
Formation energy without anion corrections (eV/atom): -0.916

Record 12
DFT (PBE-GGA) results for CeZr2Os after structural relaxation.

Unit cell a=3.2693 b=3.2693 c=8.0868 alpha=90.00 beta=90.00 gamma=90.00
With the nearest neighbours (Å) after each atom.
Atoms (fractional coordinates):
Ce 0.0000 0.0000 0.0000  4 Ce 3.27, 8 Zr 3.34
Zr 0.5000 0.5000 0.2976  4 Os 2.83
Zr 0.5000 0.5000 0.7024  4 Os 2.83
Os 0.0000 0.0000 0.5000  8 Zr 2.83

Output
DFT total energy (eV per atom): -8.74
Formation energy from the elements (kJ/mol of atoms): -17.2
Offset from the most stable computed form (meV per atom): 0

Number 1: magnetic moment 0.000 μB per atom, Fermi-level density of states 4.0 states/eV/f.u.. Number 2: magnetic moment 0.000 μB per atom, Fermi-level density of states 1.5 states/eV/f.u.. Number 3: magnetic moment 0.000 μB per atom, Fermi-level density of states 12.2 states/eV/f.u.. Number 4: magnetic moment 0.000 μB per atom, Fermi-level density of states 2.2 states/eV/f.u.. Number 5: magnetic moment 0.000 μB per atom, Fermi-level density of states 3.7 states/eV/f.u.. Number 6: magnetic moment 0.000 μB per atom, Fermi-level density of states 5.9 states/eV/f.u.. Number 7: magnetic moment 0.158 μB per atom, Fermi-level density of states 2.3 states/eV/f.u.. Number 8: magnetic moment 0.000 μB per atom, Fermi-level density of states 2.1 states/eV/f.u.. Number 9: magnetic moment 0.000 μB per atom, Fermi-level density of states 1.6 states/eV/f.u.. Number 10: magnetic moment 0.000 μB per atom, Fermi-level density of states 6.3 states/eV/f.u.. Number 11: magnetic moment 0.000 μB per atom, Fermi-level density of states 4.5 states/eV/f.u.. Number 12: magnetic moment 0.097 μB per atom, Fermi-level density of states 6.0 states/eV/f.u..